Version A
CaNdPt | PBE | optimized geometry Values from VASP.

Output
Its density of states at the Fermi level is 1.1289 states/eV per atom. Its space group is F-43m, No. 216. As for the total moment: 0.00 μB/f.u.

Structure (Quantum ESPRESSO input):
```
&SYSTEM
  ibrav = 0, nat = 3, ntyp = 3
/
ATOMIC_SPECIES
Ca 40.08 Ca.upf
Nd 144.24 Nd.upf
Pt 195.08 Pt.upf
CELL_PARAMETERS angstrom
0.0000 3.5200 3.5200
3.5200 0.0000 3.5200
3.5200 3.5200 0.0000
ATOMIC_POSITIONS angstrom
Ca 0.0000 0.0000 0.0000
Nd 3.5200 3.5200 3.5200
Pt 5.2800 5.2800 5.2800
```

***

Version B
CaNdPt | PBE | optimized geometry Values from VASP.

Output
Its density of states at the Fermi level is 0.6773 states/eV per atom. Its space group is P4/mmm, No. 123. As for the total moment: 0.00 μB/f.u.

Structure (Quantum ESPRESSO input):
```
&SYSTEM
  ibrav = 0, nat = 3, ntyp = 3
/
ATOMIC_SPECIES
Ca 40.08 Ca.upf
Nd 144.24 Nd.upf
Pt 195.08 Pt.upf
CELL_PARAMETERS angstrom
4.1079 0.0000 0.0000
0.0000 4.1079 0.0000
0.0000 0.0000 5.7788
ATOMIC_POSITIONS angstrom
Ca 0.0000 0.0000 0.0000
Nd 2.0540 2.0540 2.8894
Pt 0.0000 0.0000 2.8894
```

***

Stability summary - winner: version B; margin: 0.018 eV/atom.

***

Version A
CaNdPt | PBE | optimized geometry Values from VASP.

Output
Its density of states at the Fermi level is 0.8389 states/eV per atom. Its space group is Cm, No. 8. As for the total moment: 0.00 μB/f.u.

Structure (Quantum ESPRESSO input):
```
&SYSTEM
  ibrav = 0, nat = 6, ntyp = 3
/
ATOMIC_SPECIES
Ca 40.08 Ca.upf
Nd 144.24 Nd.upf
Pt 195.08 Pt.upf
CELL_PARAMETERS angstrom
6.3159 -1.9845 0.0000
6.3159 1.9845 0.0000
-4.6546 0.0000 6.9499
ATOMIC_POSITIONS angstrom
Ca 0.0000 0.0000 0.0000
Ca 4.1307 0.0000 4.8965
Nd 3.6257 0.0000 1.1432
Nd 7.2255 0.0000 3.2409
Pt -1.3091 0.0000 2.7382
Pt 0.1493 0.0000 5.3616
```

***

Version B
CaNdPt | PBE | optimized geometry Values from VASP.

Output
Its density of states at the Fermi level is 0.8139 states/eV per atom. Its space group is P3m1, No. 156. As for the total moment: 0.00 μB/f.u.

Structure (Quantum ESPRESSO input):
```
&SYSTEM
  ibrav = 0, nat = 3, ntyp = 3
/
ATOMIC_SPECIES
Ca 40.08 Ca.upf
Nd 144.24 Nd.upf
Pt 195.08 Pt.upf
CELL_PARAMETERS angstrom
4.2025 0.0000 0.0000
-2.1013 3.6395 0.0000
0.0000 0.0000 6.5725
ATOMIC_POSITIONS angstrom
Ca 0.0000 0.0000 0.0000
Nd 2.1013 1.2132 3.4724
Pt 0.0000 2.4263 4.9493
```

***

Version C
CaNdPt | PBE | optimized geometry Values from VASP.

Output
Its density of states at the Fermi level is 0.7550 states/eV per atom. Its space group is C2/m, No. 12. As for the total moment: 0.00 μB/f.u.

Structure (Quantum ESPRESSO input):
```
&SYSTEM
  ibrav = 0, nat = 6, ntyp = 3
/
ATOMIC_SPECIES
Ca 40.08 Ca.upf
Nd 144.24 Nd.upf
Pt 195.08 Pt.upf
CELL_PARAMETERS angstrom
6.8146 -1.8120 0.0000
6.8146 1.8120 0.0000
-1.9506 0.0000 6.9811
ATOMIC_POSITIONS angstrom
Ca 1.5815 0.0000 0.4387
Ca 10.0972 0.0000 6.5424
Nd 0.6747 0.0000 3.9415
Nd 11.0040 0.0000 3.0396
Pt 5.3783 0.0000 5.1048
Pt 6.3004 0.0000 1.8763
```

***

Stability summary - winner: version A; margin: 0.053 eV/atom.

***

Version A
CaNd4Pt2 | PBE | optimized geometry Values from VASP.

Output
Its density of states at the Fermi level is 1.2259 states/eV per atom. Its space group is P2_1/m, No. 11. As for the total moment: 0.00 μB/f.u.

Structure (Quantum ESPRESSO input):
```
&SYSTEM
  ibrav = 0, nat = 14, ntyp = 3
/
ATOMIC_SPECIES
Ca 40.08 Ca.upf
Nd 144.24 Nd.upf
Pt 195.08 Pt.upf
CELL_PARAMETERS angstrom
8.0917 0.0000 0.0000
0.0000 6.7315 0.0000
-3.0308 0.0000 7.6103
ATOMIC_POSITIONS angstrom
Ca 1.2305 1.6829 0.1421
Ca 3.8304 5.0486 7.4682
Nd -1.0158 1.6829 2.8841
Nd 0.9778 5.0486 2.5672
Nd 1.0071 0.0241 5.7584
Nd 1.0071 3.3416 5.7584
Nd 4.0538 3.3899 1.8519
Nd 4.0538 6.7074 1.8519
Nd 4.0831 1.6829 5.0431
Nd 6.0767 5.0486 4.7262
Pt -0.7295 5.0486 7.5608
Pt 1.8151 1.6829 3.1224
Pt 3.2459 5.0486 4.4879
Pt 5.7904 1.6829 0.0495
```

***

Version B
CaNd4Pt2 | PBE | optimized geometry Values from VASP.

Output
Its density of states at the Fermi level is 0.8981 states/eV per atom. Its space group is P1, No. 1. As for the total moment: 0.00 μB/f.u.

Structure (Quantum ESPRESSO input):
```
&SYSTEM
  ibrav = 0, nat = 14, ntyp = 3
/
ATOMIC_SPECIES
Ca 40.08 Ca.upf
Nd 144.24 Nd.upf
Pt 195.08 Pt.upf
CELL_PARAMETERS angstrom
7.5521 0.0000 0.0000
-0.9236 7.4993 0.0000
-2.5248 -2.8524 8.1162
ATOMIC_POSITIONS angstrom
Ca 0.0000 0.0000 0.0000
Ca -1.9087 5.8222 4.0543
Nd -0.8835 2.9396 5.9995
Nd 0.6624 4.6684 1.8408
Nd 0.7065 1.2497 3.2130
Nd 0.1700 -0.8164 7.2691
Nd 3.0683 3.5132 4.7958
Nd 4.5600 0.6596 1.9434
Nd 4.6463 4.6589 0.7366
Nd 3.5694 -0.4433 5.8993
Pt 2.7473 2.8186 1.9483
Pt 1.4790 1.4004 6.0063
Pt 1.3596 4.5890 7.1484
Pt 5.9223 3.0913 3.0881
```

***

Stability summary - winner: version A; margin: 0.079 eV/atom.

***

Version A
CaNdPt2 | PBE | optimized geometry Values from VASP.

Output
Its density of states at the Fermi level is 0.3801 states/eV per atom. Its space group is Fm-3m, No. 225. As for the total moment: 0.00 μB/f.u.

Structure (Quantum ESPRESSO input):
```
&SYSTEM
  ibrav = 0, nat = 4, ntyp = 3
/
ATOMIC_SPECIES
Ca 40.08 Ca.upf
Nd 144.24 Nd.upf
Pt 195.08 Pt.upf
CELL_PARAMETERS angstrom
0.0000 3.5491 3.5491
3.5491 0.0000 3.5491
3.5491 3.5491 0.0000
ATOMIC_POSITIONS angstrom
Ca 0.0000 0.0000 0.0000
Nd 3.5491 3.5491 3.5491
Pt 1.7746 1.7746 1.7746
Pt 5.3237 5.3237 5.3237
```

***

Version B
CaNdPt2 | PBE | optimized geometry Values from VASP.

Output
Its density of states at the Fermi level is 0.2238 states/eV per atom. Its space group is P4/mmm, No. 123. As for the total moment: 0.00 μB/f.u.

Structure (Quantum ESPRESSO input):
```
&SYSTEM
  ibrav = 0, nat = 4, ntyp = 3
/
ATOMIC_SPECIES
Ca 40.08 Ca.upf
Nd 144.24 Nd.upf
Pt 195.08 Pt.upf
CELL_PARAMETERS angstrom
3.5647 0.0000 0.0000
0.0000 3.5647 0.0000
0.0000 0.0000 7.0851
ATOMIC_POSITIONS angstrom
Ca 0.0000 0.0000 0.0000
Nd 0.0000 0.0000 3.5425
Pt 1.7823 1.7823 1.8137
Pt 1.7823 1.7823 5.2714
```

***

Version C
CaNdPt2 | PBE | optimized geometry Values from VASP.

Output
Its density of states at the Fermi level is 0.4122 states/eV per atom. Its space group is Amm2, No. 38. As for the total moment: 0.00 μB/f.u.

Structure (Quantum ESPRESSO input):
```
&SYSTEM
  ibrav = 0, nat = 4, ntyp = 3
/
ATOMIC_SPECIES
Ca 40.08 Ca.upf
Nd 144.24 Nd.upf
Pt 195.08 Pt.upf
CELL_PARAMETERS angstrom
4.4263 0.0000 0.0000
0.0000 1.9860 5.4234
0.0000 -1.9860 5.4234
ATOMIC_POSITIONS angstrom
Ca 0.0000 0.0000 0.0000
Nd 2.2131 0.0000 3.0513
Pt 0.0000 0.0000 7.8376
Pt 2.2131 0.0000 6.0549
```

***

Version D
CaNdPt2 | PBE | optimized geometry Values from VASP.

Output
Its density of states at the Fermi level is 0.6095 states/eV per atom. Its space group is R3m, No. 160. As for the total moment: 0.00 μB/f.u.

Structure (Quantum ESPRESSO input):
```
&SYSTEM
  ibrav = 0, nat = 4, ntyp = 3
/
ATOMIC_SPECIES
Ca 40.08 Ca.upf
Nd 144.24 Nd.upf
Pt 195.08 Pt.upf
CELL_PARAMETERS angstrom
2.0552 1.1866 7.0257
-2.0552 1.1866 7.0257
0.0000 -2.3731 7.0257
ATOMIC_POSITIONS angstrom
Ca 0.0000 0.0000 0.0000
Nd 0.0000 0.0000 17.4584
Pt 0.0000 0.0000 5.2177
Pt 0.0000 0.0000 8.6901
```

***

Stability summary - winner: version C; margin: 0.031 eV/atom.

***

Version A
Ca2Nd2Pt3 | PBE | optimized geometry Values from VASP.

Output
Its density of states at the Fermi level is 0.7224 states/eV per atom. Its space group is P-1, No. 2. As for the total moment: 0.00 μB/f.u.

Structure (Quantum ESPRESSO input):
```
&SYSTEM
  ibrav = 0, nat = 7, ntyp = 3
/
ATOMIC_SPECIES
Ca 40.08 Ca.upf
Nd 144.24 Nd.upf
Pt 195.08 Pt.upf
CELL_PARAMETERS angstrom
5.0021 0.0000 0.0000
-2.5008 4.3438 0.0000
-2.4886 -1.4564 8.2181
ATOMIC_POSITIONS angstrom
Ca 0.0003 1.4483 0.9181
Ca 0.0124 1.4391 7.2999
Nd -2.4905 2.8894 5.2243
Nd 2.5032 -0.0019 2.9938
Pt -2.4992 2.8942 2.2169
Pt 2.5011 0.0000 0.0000
Pt 2.5119 -0.0068 6.0012
```

***

Version B
Ca2Nd2Pt3 | PBE | optimized geometry Values from VASP.

Output
Its density of states at the Fermi level is 0.3797 states/eV per atom. Its space group is C2/m, No. 12. As for the total moment: 0.00 μB/f.u.

Structure (Quantum ESPRESSO input):
```
&SYSTEM
  ibrav = 0, nat = 7, ntyp = 3
/
ATOMIC_SPECIES
Ca 40.08 Ca.upf
Nd 144.24 Nd.upf
Pt 195.08 Pt.upf
CELL_PARAMETERS angstrom
7.4936 -2.2163 0.0000
7.4936 2.2163 0.0000
-0.9457 0.0000 5.8187
ATOMIC_POSITIONS angstrom
Ca 1.0618 0.0000 1.7884
Ca 12.9798 0.0000 4.0303
Nd 4.8420 0.0000 1.0472
Nd 9.1997 0.0000 4.7714
Pt 3.4001 0.0000 3.9017
Pt 7.0208 0.0000 2.9093
Pt 10.6415 0.0000 1.9170
```

***

Stability summary - winner: version B; margin: 0.016 eV/atom.

***

Version A
CaNdZnPt | PBE | optimized geometry Values from VASP.

Output
Its density of states at the Fermi level is 0.5562 states/eV per atom. Its space group is Amm2, No. 38. As for the total moment: 0.00 μB/f.u.

Structure (Quantum ESPRESSO input):
```
&SYSTEM
  ibrav = 0, nat = 4, ntyp = 4
/
ATOMIC_SPECIES
Ca 40.08 Ca.upf
Nd 144.24 Nd.upf
Zn 65.41 Zn.upf
Pt 195.08 Pt.upf
CELL_PARAMETERS angstrom
4.2482 0.0000 0.0000
0.0000 2.0465 5.7232
0.0000 -2.0465 5.7232
ATOMIC_POSITIONS angstrom
Ca 0.0000 0.0000 0.0000
Nd 2.1241 0.0000 8.1914
Zn 2.1241 0.0000 4.8736
Pt 0.0000 0.0000 3.1856
```

***

Version B
CaNdZnPt | PBE | optimized geometry Values from VASP.

Output
Its density of states at the Fermi level is 0.6579 states/eV per atom. Its space group is F-43m, No. 216. As for the total moment: 0.00 μB/f.u.

Structure (Quantum ESPRESSO input):
```
&SYSTEM
  ibrav = 0, nat = 4, ntyp = 4
/
ATOMIC_SPECIES
Ca 40.08 Ca.upf
Nd 144.24 Nd.upf
Zn 65.41 Zn.upf
Pt 195.08 Pt.upf
CELL_PARAMETERS angstrom
0.0000 3.5944 3.5944
3.5944 0.0000 3.5944
3.5944 3.5944 0.0000
ATOMIC_POSITIONS angstrom
Ca 0.0000 0.0000 0.0000
Nd 3.5944 3.5944 3.5944
Zn 5.3916 5.3916 5.3916
Pt 1.7972 1.7972 1.7972
```

***

Stability summary - winner: version A; margin: 0.044 eV/atom.

***

Version A
Ca2NdRh | PBE | optimized geometry Values from VASP.

Output
Its density of states at the Fermi level is 0.6571 states/eV per atom. Its space group is Cmcm, No. 63. As for the total moment: 0.00 μB/f.u.

Structure (Quantum ESPRESSO input):
```
&SYSTEM
  ibrav = 0, nat = 8, ntyp = 3
/
ATOMIC_SPECIES
Ca 40.08 Ca.upf
Nd 144.24 Nd.upf
Rh 102.91 Rh.upf
CELL_PARAMETERS angstrom
1.9936 -6.3430 0.0000
1.9936 6.3430 0.0000
0.0000 0.0000 9.6098
ATOMIC_POSITIONS angstrom
Ca 1.9936 4.4629 5.4553
Ca 1.9936 4.4629 8.9594
Ca 1.9936 -4.4629 0.6504
Ca 1.9936 -4.4629 4.1545
Nd 1.9936 1.0177 7.2073
Nd 1.9936 -1.0177 2.4024
Rh 1.9936 3.4086 2.4024
Rh 1.9936 -3.4086 7.2073
```

***

Version B
Ca2NdRh | PBE | optimized geometry Values from VASP.

Output
Its density of states at the Fermi level is 0.7582 states/eV per atom. Its space group is Pnma, No. 62. As for the total moment: 0.00 μB/f.u.

Structure (Quantum ESPRESSO input):
```
&SYSTEM
  ibrav = 0, nat = 16, ntyp = 3
/
ATOMIC_SPECIES
Ca 40.08 Ca.upf
Nd 144.24 Nd.upf
Rh 102.91 Rh.upf
CELL_PARAMETERS angstrom
7.5521 0.0000 0.0000
0.0000 9.7126 0.0000
0.0000 0.0000 6.5348
ATOMIC_POSITIONS angstrom
Ca 1.3110 0.6466 1.0621
Ca 1.3110 4.2097 1.0621
Ca 2.4651 5.5028 4.3295
Ca 2.4651 9.0660 4.3295
Ca 5.0871 0.6466 2.2054
Ca 5.0871 4.2097 2.2054
Ca 6.2411 5.5028 5.4728
Ca 6.2411 9.0660 5.4728
Nd 0.3252 2.4281 4.1961
Nd 3.4508 7.2844 0.9287
Nd 4.1013 2.4281 5.6061
Nd 7.2269 7.2844 2.3387
Rh 0.9267 7.2844 6.3635
Rh 2.8494 2.4281 3.0961
Rh 4.7027 7.2844 3.4387
Rh 6.6255 2.4281 0.1713
```

***

Stability summary - winner: version A; margin: 0.016 eV/atom.

***

Version A
CaNdSnRh | PBE | optimized geometry Values from VASP.

Output
Its density of states at the Fermi level is 0.5850 states/eV per atom. Its space group is F-43m, No. 216. As for the total moment: 0.00 μB/f.u.

Structure (Quantum ESPRESSO input):
```
&SYSTEM
  ibrav = 0, nat = 4, ntyp = 4
/
ATOMIC_SPECIES
Ca 40.08 Ca.upf
Nd 144.24 Nd.upf
Sn 118.71 Sn.upf
Rh 102.91 Rh.upf
CELL_PARAMETERS angstrom
0.0000 3.6793 3.6793
3.6793 0.0000 3.6793
3.6793 3.6793 0.0000
ATOMIC_POSITIONS angstrom
Ca 0.0000 0.0000 0.0000
Nd 3.6793 3.6793 3.6793
Sn 1.8396 1.8396 1.8396
Rh 5.5189 5.5189 5.5189
```

***

Version B
CaNdSnRh | PBE | optimized geometry Values from VASP.

Output
Its density of states at the Fermi level is 0.7079 states/eV per atom. Its space group is Amm2, No. 38. As for the total moment: 0.00 μB/f.u.

Structure (Quantum ESPRESSO input):
```
&SYSTEM
  ibrav = 0, nat = 4, ntyp = 4
/
ATOMIC_SPECIES
Ca 40.08 Ca.upf
Nd 144.24 Nd.upf
Sn 118.71 Sn.upf
Rh 102.91 Rh.upf
CELL_PARAMETERS angstrom
3.8376 0.0000 0.0000
0.0000 2.3043 5.9738
0.0000 -2.3043 5.9738
ATOMIC_POSITIONS angstrom
Ca 0.0000 0.0000 0.0000
Nd 1.9188 0.0000 3.5292
Sn 1.9188 0.0000 7.0532
Rh 0.0000 0.0000 8.9640
```

***

Stability summary - winner: version B; margin: 0.114 eV/atom.